Computed, not measured: PuBe4Ge3O12 after structural relaxation at the GGA-PBE level of DFT.

Structure (CIF):
```
data_PuBe4Ge3O12
_cell_length_a 9.7819
_cell_length_b 9.7819
_cell_length_c 7.1874
_cell_angle_alpha 90.00
_cell_angle_beta 90.00
_cell_angle_gamma 120.00
_symmetry_space_group_name_H-M 'R 3 2'
_symmetry_Int_Tables_number 155
_symmetry_space_group_name_Hall 'R 3 2"'
loop_
_atom_site_label
_atom_site_fract_x
_atom_site_fract_y
_atom_site_fract_z
_atom_site_occupancy
Pu1 0.0000 0.0000 0.0000 1
Be1 0.0000 0.0000 0.5000 1
Be2 0.0000 0.4352 0.5000 1
Ge1 0.0000 0.5640 0.0000 1
O1 0.0000 0.5917 0.5000 1
O2 0.0000 0.8409 0.5000 1
O3 0.0482 0.2165 0.1848 1
```

Computed properties:
uncorrected energy	-7.28	eV/atom
formation energy from raw total energies	-2149	meV per atom
total magnetic moment	4.000	μB/f.u.
crystal system	trigonal